# 1
! GGA-PBE Ti2SnGe, relaxed; values from VASP
! formation energy = -0.147 eV per atom
&SYSTEM
  ibrav = 0, nat = 8, ntyp = 3
/
ATOMIC_SPECIES
Ge 72.64 Ge.upf
Sn 118.71 Sn.upf
Ti 47.87 Ti.upf
CELL_PARAMETERS angstrom
7.278 0.000 0.000
0.000 7.278 0.000
3.639 3.639 2.912
ATOMIC_POSITIONS angstrom
Ge 3.639 7.278 1.456
Ge 3.639 3.639 0.000
Sn 7.278 3.639 1.456
Sn 0.000 0.000 0.000
Ti 5.459 5.617 2.184
Ti 5.301 1.820 0.728
Ti 1.978 5.459 0.728
Ti 9.098 8.940 2.184

# 2
Here is a relaxed La2CoHRh crystal from Alexandria. Energies are from GGA-PBE. Values from VASP.

Quantum ESPRESSO input file:
```
&SYSTEM
  ibrav = 0, nat = 5, ntyp = 4
/
ATOMIC_SPECIES
Rh 102.91 Rh.upf
H 1.01 H.upf
La 138.91 La.upf
Co 58.93 Co.upf
CELL_PARAMETERS angstrom
5.103 0.000 0.000
0.000 5.103 0.000
0.000 0.000 3.524
ATOMIC_POSITIONS angstrom
Rh 2.551 2.551 1.762
H 0.000 0.000 0.000
La 2.551 0.000 0.000
La 0.000 2.551 0.000
Co 0.000 0.000 1.762
```

# 3
! GGA-PBE BaMg2Sb, relaxed; values from VASP
! raw formation energy = -0.1494 eV/atom
&SYSTEM
  ibrav = 0, nat = 4, ntyp = 3
/
ATOMIC_SPECIES
Sb 121.76 Sb.upf
Ba 137.33 Ba.upf
Mg 24.30 Mg.upf
CELL_PARAMETERS angstrom
-0.040 -6.534 -2.535
4.153 4.950 -2.713
3.269 -1.184 0.612
ATOMIC_POSITIONS angstrom
Sb 1.615 -3.859 -0.962
Ba 3.711 1.883 -1.051
Mg 0.000 0.000 0.000
Mg 2.057 -0.792 -2.624

# 4
! GGA-PBE Ba2TaGeMo, relaxed; values from VASP
! formation energy = 1.708 eV per atom
&SYSTEM
  ibrav = 0, nat = 5, ntyp = 4
/
ATOMIC_SPECIES
Mo 95.94 Mo.upf
Ba 137.33 Ba.upf
Ta 180.95 Ta.upf
Ge 72.64 Ge.upf
CELL_PARAMETERS angstrom
6.006 0.000 0.000
0.000 4.977 0.000
0.000 0.000 6.006
ATOMIC_POSITIONS angstrom
Mo 3.003 2.489 3.003
Ba 3.003 0.000 0.000
Ba 0.000 0.000 3.003
Ta 0.000 0.000 0.000
Ge 0.000 2.489 0.000

# 5
! GGA-PBE Ta2BTePd, relaxed; values from VASP
! raw formation energy = 0.1479 eV/atom
&SYSTEM
  ibrav = 0, nat = 5, ntyp = 4
/
ATOMIC_SPECIES
Pd 106.42 Pd.upf
Ta 180.95 Ta.upf
B 10.81 B.upf
Te 127.60 Te.upf
CELL_PARAMETERS angstrom
-3.113 -2.831 1.538
2.471 -3.226 -0.937
1.826 0.211 4.085
ATOMIC_POSITIONS angstrom
Pd 1.235 -1.613 -0.469
Ta 0.913 0.106 2.043
Ta -1.556 -1.416 0.769
B 0.000 0.000 0.000
Te 0.592 -2.923 2.343

# 6
! GGA-PBE MgCd2Ag2, relaxed; values from VASP
! formation energy = -0.024 eV per atom
! polymorph energy (0 for the lowest one) = 92 meV/atom
&SYSTEM
  ibrav = 0, nat = 10, ntyp = 3
/
ATOMIC_SPECIES
Cd 112.41 Cd.upf
Ag 107.87 Ag.upf
Mg 24.30 Mg.upf
CELL_PARAMETERS angstrom
-1.807 -5.523 5.567
-0.120 -5.692 -5.687
3.103 -0.538 0.473
ATOMIC_POSITIONS angstrom
Cd -1.154 -4.220 2.768
Cd -0.279 -2.824 -1.380
Cd -1.648 -8.391 1.260
Cd -0.773 -6.995 -2.888
Ag 0.242 -8.694 -0.756
Ag 1.164 -5.020 -2.627
Ag 0.934 -3.059 1.109
Ag 0.012 -6.734 2.980
Mg 0.000 0.000 0.000
Mg -0.964 -5.608 -0.060

# 7
! GGA-PBE Y2NiAs, relaxed; values from VASP
! formation energy = -0.700 eV per atom
&SYSTEM
  ibrav = 0, nat = 4, ntyp = 3
/
ATOMIC_SPECIES
Y 88.91 Y.upf
Ni 58.69 Ni.upf
As 74.92 As.upf
CELL_PARAMETERS angstrom
6.225 0.001 -0.001
3.712 4.998 0.001
-4.829 -2.777 2.779
ATOMIC_POSITIONS angstrom
Y 0.164 0.083 0.000
Y 3.187 -0.136 1.389
Ni 2.296 2.546 1.390
As 4.430 2.228 0.000

# 8
! GGA-PBE LiTeRu2, relaxed; values from VASP
! raw formation energy = 0.1895 eV/atom
&SYSTEM
  ibrav = 0, nat = 4, ntyp = 3
/
ATOMIC_SPECIES
Li 6.94 Li.upf
Te 127.60 Te.upf
Ru 101.07 Ru.upf
CELL_PARAMETERS angstrom
-3.787 -1.975 -1.614
-3.780 -2.120 1.436
-3.067 3.713 0.182
ATOMIC_POSITIONS angstrom
Li -2.659 -0.095 0.001
Te -7.976 -0.286 0.004
Ru -5.238 -0.223 0.001
Ru -0.079 0.032 0.002

In states/eV per atom, the DOS at the Fermi energy values for the records above are, in order, 0.11; 0.74; 0.44; 2.00; 0.88; 0.27; 0.68; 1.30.
In eV per atom, the calculated total energy values for the records above are, in order, -6.2497; -5.9205; -2.4580; -4.5218; -7.5955; -1.8490; -6.5395; -5.7123.
In μB per formula unit, the magnetization values for the records above are, in order, 0.00; 0.08; 0.00; 0.50; 0.00; 0.00; 0.00; 0.00.